No. 1
Ba2LiZn3Ag12: relaxed, GGA-PBE. Values from VASP.

Size of the total moment: 0.00 μB/f.u.
SG: R-3m, No. 166
Uncorrected energy: -2.309 eV/atom

```
&SYSTEM
  ibrav = 0, nat = 18, ntyp = 4
/
ATOMIC_SPECIES
Ag 107.87 Ag.upf
Zn 65.41 Zn.upf
Li 6.94 Li.upf
Ba 137.33 Ba.upf
ATOMIC_POSITIONS crystal
Ag 0.883 0.883 0.345
Zn 0.000 0.000 0.500
Zn 0.000 0.500 0.000
Ag 0.117 0.655 0.117
Li 0.000 0.000 0.000
Ag 0.883 0.345 0.883
Ag 0.657 0.997 0.657
Ag 0.657 0.657 0.997
Ag 0.003 0.343 0.343
Ba 0.608 0.608 0.608
Ag 0.345 0.883 0.883
Zn 0.500 0.000 0.000
Ag 0.655 0.117 0.117
Ag 0.343 0.003 0.343
Ag 0.343 0.343 0.003
Ag 0.997 0.657 0.657
Ag 0.117 0.117 0.655
Ba 0.392 0.392 0.392
CELL_PARAMETERS angstrom
-6.902 -4.994 1.041
0.350 -7.960 -3.191
0.608 -6.486 5.587
```

***

No. 2
DyPuCd2O6: relaxed, GGA-PBE. Values from VASP.

Raw formation energy: -2259 meV/atom
Size of the total moment: 3.00 μB/f.u.
SG: R3, No. 146
Uncorrected energy: -7.310 eV/atom

```
&SYSTEM
  ibrav = 0, nat = 10, ntyp = 4
/
ATOMIC_SPECIES
O 16.00 O.upf
Pu 244.00 Pu.upf
Cd 112.41 Cd.upf
Dy 162.50 Dy.upf
ATOMIC_POSITIONS crystal
O 0.200 0.950 0.264
O 0.950 0.585 0.264
O 0.433 0.687 0.776
Pu 0.319 0.319 0.042
O 0.585 0.200 0.264
Cd 0.031 0.031 0.908
O 0.104 0.433 0.776
Dy 0.815 0.815 0.556
O 0.687 0.104 0.776
Cd 0.537 0.537 0.390
CELL_PARAMETERS angstrom
5.756 0.000 0.000
2.878 4.985 0.000
2.878 1.662 5.098
```

***

No. 3
Sr2FeRh: relaxed, GGA-PBE. Values from VASP.

Energy relative to the lowest polymorph listed for this composition: 431.7 meV per atom
Size of the total moment: 2.97 μB/f.u.
SG: F-43m, No. 216
Uncorrected energy: -4.293 eV/atom

```
&SYSTEM
  ibrav = 0, nat = 4, ntyp = 3
/
ATOMIC_SPECIES
Fe 55.84 Fe.upf
Sr 87.62 Sr.upf
Rh 102.91 Rh.upf
ATOMIC_POSITIONS crystal
Fe 0.500 0.500 0.500
Sr 0.250 0.250 0.250
Rh 0.750 0.750 0.750
Sr 0.000 0.000 0.000
CELL_PARAMETERS angstrom
-3.890 -3.180 -0.792
-1.050 -1.610 -4.709
0.892 -4.838 -1.292
```

***

No. 4
Pr2NpPaAs4: relaxed, GGA-PBE. Values from VASP.

Size of the total moment: 4.46 μB/f.u.
SG: P2/m, No. 10
Uncorrected energy: -7.512 eV/atom

```
&SYSTEM
  ibrav = 0, nat = 8, ntyp = 4
/
ATOMIC_SPECIES
Np 237.00 Np.upf
As 74.92 As.upf
Pr 140.91 Pr.upf
Pa 231.04 Pa.upf
ATOMIC_POSITIONS crystal
Np 0.000 0.000 0.000
As 0.500 0.247 0.234
As 0.500 0.753 0.766
As 0.000 0.742 0.234
Pr 0.500 0.000 0.500
As 0.000 0.258 0.766
Pr 0.000 0.500 0.500
Pa 0.500 0.500 0.000
CELL_PARAMETERS angstrom
4.193 0.000 0.000
0.000 7.241 0.116
0.000 -2.541 6.870
```

***

No. 5
Y2CdNi: relaxed, GGA-PBE. Values from VASP.

Size of the total moment: 0.00 μB/f.u.
SG: I-4m2, No. 119
Uncorrected energy: -4.974 eV/atom

```
&SYSTEM
  ibrav = 0, nat = 4, ntyp = 3
/
ATOMIC_SPECIES
Cd 112.41 Cd.upf
Y 88.91 Y.upf
Ni 58.69 Ni.upf
ATOMIC_POSITIONS crystal
Cd 0.500 0.500 0.000
Y 0.250 0.750 0.500
Ni 0.750 0.250 0.500
Y 0.000 0.000 0.000
CELL_PARAMETERS angstrom
5.820 0.050 0.000
2.605 5.205 0.000
-4.213 -2.628 3.038
```

***

No. 6
AgSN2O: relaxed, GGA-PBE. Values from VASP.

Raw formation energy: 2455 meV/atom
Size of the total moment: 4.54 μB/f.u.
SG: P4/mmm, No. 123
Uncorrected energy: -3.262 eV/atom

```
&SYSTEM
  ibrav = 0, nat = 5, ntyp = 4
/
ATOMIC_SPECIES
S 32.06 S.upf
Ag 107.87 Ag.upf
O 16.00 O.upf
N 14.01 N.upf
ATOMIC_POSITIONS crystal
S 0.000 0.000 0.500
Ag 0.000 0.000 0.000
O 0.500 0.500 0.500
N 0.500 0.000 0.000
N 0.000 0.500 0.000
CELL_PARAMETERS angstrom
3.983 0.000 0.000
0.000 3.983 0.000
0.000 0.000 5.290
```

***

Repeat the second record exactly.
DyPuCd2O6: relaxed, GGA-PBE. Values from VASP.

Raw formation energy: -2259 meV/atom
Size of the total moment: 3.00 μB/f.u.
SG: R3, No. 146
Uncorrected energy: -7.310 eV/atom

```
&SYSTEM
  ibrav = 0, nat = 10, ntyp = 4
/
ATOMIC_SPECIES
O 16.00 O.upf
Pu 244.00 Pu.upf
Cd 112.41 Cd.upf
Dy 162.50 Dy.upf
ATOMIC_POSITIONS crystal
O 0.200 0.950 0.264
O 0.950 0.585 0.264
O 0.433 0.687 0.776
Pu 0.319 0.319 0.042
O 0.585 0.200 0.264
Cd 0.031 0.031 0.908
O 0.104 0.433 0.776
Dy 0.815 0.815 0.556
O 0.687 0.104 0.776
Cd 0.537 0.537 0.390
CELL_PARAMETERS angstrom
5.756 0.000 0.000
2.878 4.985 0.000
2.878 1.662 5.098
```

***

Q: Number 2 is which compound?
A: DyPuCd2O6

***

Q: Number 6 is which compound?
A: AgSN2O